! Pm5PrNdTm2 (PBE-GGA, relaxed); values from VASP
&SYSTEM
  ibrav = 0, nat = 18, ntyp = 4
/
ATOMIC_SPECIES
Pm 145.00 Pm.upf
Pr 140.91 Pr.upf
Nd 144.24 Nd.upf
Tm 168.93 Tm.upf
CELL_PARAMETERS angstrom
2.851 -10.207 0.000
2.851 10.207 0.000
0.000 0.000 10.642
ATOMIC_POSITIONS angstrom
Pm 2.851 9.872 5.321
Pm 2.851 4.483 8.376
Pm 2.851 4.147 1.943
Pm 2.851 2.221 5.351
Pm 2.851 0.484 2.290
Pm 2.851 -0.484 7.611
Pm 2.851 -2.221 0.030
Pm 2.851 -4.147 7.264
Pm 2.851 -4.483 3.055
Pm 2.851 -9.872 0.000
Pr 2.851 1.747 9.823
Pr 2.851 -1.747 4.502
Nd 2.851 6.118 5.192
Nd 2.851 -6.118 10.513
Tm 2.851 7.913 2.227
Tm 2.851 7.825 8.511
Tm 2.851 -7.825 3.190
Tm 2.851 -7.913 7.548
! - space group = No. 36
! - E (eV per formula unit) = -40.88
! - calculated formation energy (eV per atom) = 0.15
! - spin magnetization (μB/f.u.) = 0.0



! PmPrNd2Tm2 (PBE-GGA, relaxed); values from VASP
&SYSTEM
  ibrav = 0, nat = 12, ntyp = 4
/
ATOMIC_SPECIES
Pm 145.00 Pm.upf
Pr 140.91 Pr.upf
Nd 144.24 Nd.upf
Tm 168.93 Tm.upf
CELL_PARAMETERS angstrom
7.063 0.000 0.000
0.000 9.919 0.000
0.000 0.000 5.729
ATOMIC_POSITIONS angstrom
Pm 0.000 0.000 0.000
Pm 3.532 4.960 2.865
Pr 0.000 4.960 2.865
Pr 3.532 0.000 0.000
Nd 1.761 1.659 2.865
Nd 1.771 6.619 0.000
Nd 5.292 3.300 0.000
Nd 5.303 8.260 2.865
Tm 1.766 3.312 0.000
Tm 1.766 8.272 2.865
Tm 5.297 1.647 2.865
Tm 5.297 6.607 0.000
! - space group = No. 58
! - E (eV per formula unit) = -27.60
! - calculated formation energy (eV per atom) = 0.07
! - spin magnetization (μB/f.u.) = 0.0



! PmPrNd2Tm5 (PBE-GGA, relaxed); values from VASP
&SYSTEM
  ibrav = 0, nat = 18, ntyp = 4
/
ATOMIC_SPECIES
Pm 145.00 Pm.upf
Pr 140.91 Pr.upf
Nd 144.24 Nd.upf
Tm 168.93 Tm.upf
CELL_PARAMETERS angstrom
-4.353 4.353 7.723
4.353 -4.353 7.723
4.353 4.353 -7.723
ATOMIC_POSITIONS angstrom
Pm 4.353 0.000 3.862
Pm 0.000 4.353 3.862
Pr 0.000 0.000 3.862
Pr 0.000 0.000 11.585
Nd 5.372 1.019 0.000
Nd 1.019 3.334 0.000
Nd 3.334 1.019 7.723
Nd -1.019 3.334 7.723
Tm 0.000 0.000 0.000
Tm 2.529 1.824 -2.117
Tm 2.529 -1.824 5.606
Tm 2.529 1.824 2.117
Tm 2.529 -1.824 9.840
Tm 0.000 0.000 7.723
Tm 1.824 6.177 -2.117
Tm 1.824 2.529 5.606
Tm 1.824 6.177 2.117
Tm 1.824 2.529 9.840
! - space group = No. 140
! - E (eV per formula unit) = -39.17
! - calculated formation energy (eV per atom) = 0.25
! - spin magnetization (μB/f.u.) = 0.0



Please write out number 3 again, unchanged.
! PmPrNd2Tm5 (PBE-GGA, relaxed); values from VASP
&SYSTEM
  ibrav = 0, nat = 18, ntyp = 4
/
ATOMIC_SPECIES
Pm 145.00 Pm.upf
Pr 140.91 Pr.upf
Nd 144.24 Nd.upf
Tm 168.93 Tm.upf
CELL_PARAMETERS angstrom
-4.353 4.353 7.723
4.353 -4.353 7.723
4.353 4.353 -7.723
ATOMIC_POSITIONS angstrom
Pm 4.353 0.000 3.862
Pm 0.000 4.353 3.862
Pr 0.000 0.000 3.862
Pr 0.000 0.000 11.585
Nd 5.372 1.019 0.000
Nd 1.019 3.334 0.000
Nd 3.334 1.019 7.723
Nd -1.019 3.334 7.723
Tm 0.000 0.000 0.000
Tm 2.529 1.824 -2.117
Tm 2.529 -1.824 5.606
Tm 2.529 1.824 2.117
Tm 2.529 -1.824 9.840
Tm 0.000 0.000 7.723
Tm 1.824 6.177 -2.117
Tm 1.824 2.529 5.606
Tm 1.824 6.177 2.117
Tm 1.824 2.529 9.840
! - space group = No. 140
! - E (eV per formula unit) = -39.17
! - calculated formation energy (eV per atom) = 0.25
! - spin magnetization (μB/f.u.) = 0.0



- Which value of E does entry 2 give?
  -27.60 eV per formula unit



- What is the formula in the first record?
  Pm5PrNdTm2